No. 1
First-principles (PBE) data for crystalline YPt2N at its relaxed geometry, as listed in Alexandria via LeMat-Bulk.

Geometry as POSCAR:
```
YPt2N
1.0
-4.7170 1.2673 -1.5572
-1.9572 -2.0161 4.2879
-2.8124 4.9479 4.1073
Y Pt N
2 4 2
Direct
0.7500 0.2500 0.5000 Y
0.0000 0.0000 0.0000 Y
0.4832 0.1250 0.2500 Pt
0.8750 0.7332 0.7500 Pt
0.3750 0.5168 0.7500 Pt
0.2668 0.6250 0.2500 Pt
0.2500 0.7500 0.5000 N
0.5000 0.5000 0.0000 N
```

Summary:
Formation energy (no corrections), meV per atom: -243.2
Space-group type: I-42d, No. 122


No. 2
First-principles (PBE) data for crystalline YPtN3 at its relaxed geometry, as listed in Alexandria via LeMat-Bulk.

Geometry as POSCAR:
```
YPtN3
1.0
-1.6958 0.3063 3.9423
-1.1073 -4.1547 -0.1534
3.7960 -1.0751 1.7164
Y N Pt
1 3 1
Direct
0.0000 0.0000 0.0000 Y
0.0000 0.0000 0.5000 N
0.0000 0.5000 0.0000 N
0.5000 0.0000 0.0000 N
0.5000 0.5000 0.5000 Pt
```

Summary:
Formation energy (no corrections), meV per atom: 1976.1
Space-group type: Pm-3m, No. 221


No. 3
First-principles (PBE) data for crystalline YPtN3 at its relaxed geometry, as listed in Alexandria via LeMat-Bulk.

Geometry as POSCAR:
```
YPtN3
1.0
3.9456 0.0000 0.0000
0.0000 3.9456 0.0000
0.0000 0.0000 3.9456
N Y Pt
3 1 1
Direct
0.5000 0.0000 0.0000 N
0.0000 0.5000 0.0000 N
0.0000 0.0000 0.5000 N
0.5000 0.5000 0.5000 Y
0.0000 0.0000 0.0000 Pt
```

Summary:
Formation energy (no corrections), meV per atom: 600.6
Space-group type: Pm-3m, No. 221